# 1
Density functional theory data (PBE-GGA) for crystalline Y2Al2H at its relaxed geometry.

Cell: 6.6086 6.6086 4.9887 Å, 90.00 90.00 90.00°
Closest atoms and distances in Å follow each position.
Space group P4/mbm (No. 127)
One atom of each set of equivalent atoms:
Y 0.1691 0.3309 0.0000 x4  2 H 2.46
Al 0.1414 0.6414 0.5000 x4  1 Al 2.64
H 0.0000 0.0000 0.0000 x2  4 Y 2.46



# 2
Density functional theory data (PBE-GGA) for crystalline Y3AlH at its relaxed geometry.

Cell: 3.6224 7.4304 9.0623 Å, 89.08 78.52 89.94°
Closest atoms and distances in Å follow each position.
Space group P-1 (No. 2)
One atom of each set of equivalent atoms:
Y 0.0130 0.2497 0.4740 x2  1 H 2.22
Y 0.2031 0.1665 0.0919 x2  1 H 2.23
Y 0.3589 0.4510 0.7847 x2  2 H 2.17
Al 0.3975 0.0484 0.7049 x2  7 Y 3.00-3.29
H 0.1227 0.3932 0.2530 x2  4 Y 2.17-2.23



# 3
Density functional theory data (PBE-GGA) for crystalline YAl2H at its relaxed geometry.

Cell: 6.7743 6.7743 6.7743 Å, 90.00 90.00 90.00°
Closest atoms and distances in Å follow each position.
Space group Fm-3m (No. 225)
One atom of each set of equivalent atoms:
Y 0.0000 0.0000 0.0000 x4  8 Al 2.93
Al 0.2500 0.2500 0.2500 x8  4 H 2.93, 4 Y 2.93
H 0.0000 0.0000 0.5000 x4  8 Al 2.93



# 4
Density functional theory data (PBE-GGA) for crystalline Y2AlH at its relaxed geometry.

Cell: 3.2910 3.5276 7.2659 Å, 90.00 90.00 90.00°
Closest atoms and distances in Å follow each position.
Space group Pmmm (No. 47)
One atom of each set of equivalent atoms:
Y 0.0000 0.0000 0.2345 x2  2 H 2.37
Al 0.5000 0.5000 0.5000 x1  8 Y 3.09, 2 Al 3.29
H 0.5000 0.0000 0.0000 x1  4 Y 2.37



# 5
Density functional theory data (PBE-GGA) for crystalline YZr2AlH at its relaxed geometry.

Cell: 4.4816 4.4816 4.6091 Å, 90.00 90.00 90.00°
Closest atoms and distances in Å follow each position.
Space group P4/mmm (No. 123)
One atom of each set of equivalent atoms:
Y 0.0000 0.0000 0.0000 x1  2 H 2.30
Zr 0.0000 0.5000 0.5000 x2  2 H 2.24
Al 0.5000 0.5000 0.0000 x1  4 Y 3.17, 8 Zr 3.21
H 0.0000 0.0000 0.5000 x1  4 Zr 2.24, 2 Y 2.30



# 6
Density functional theory data (PBE-GGA) for crystalline Y2ZrAlH at its relaxed geometry.

Cell: 4.6946 4.6946 4.5594 Å, 90.00 90.00 90.00°
Closest atoms and distances in Å follow each position.
Space group P4/mmm (No. 123)
One atom of each set of equivalent atoms:
Y 0.0000 0.5000 0.0000 x2  2 H 2.35
Zr 0.0000 0.0000 0.5000 x1  2 H 2.28
Al 0.5000 0.5000 0.5000 x1  8 Y 3.27, 4 Zr 3.32
H 0.0000 0.0000 0.0000 x1  2 Zr 2.28, 4 Y 2.35



# 7
Density functional theory data (PBE-GGA) for crystalline YbAl2H6 at its relaxed geometry.

Cell: 7.0516 7.0516 7.0516 Å, 90.00 90.00 90.00°
Closest atoms and distances in Å follow each position.
Space group Fm-3m (No. 225)
One atom of each set of equivalent atoms:
Yb 0.0000 0.0000 0.0000 x4  6 H 1.99
Al 0.2500 0.2500 0.2500 x8  12 H 2.50
H 0.0000 0.0000 0.2828 x24  1 Yb 1.99, 4 H 2.17



# 8
Density functional theory data (PBE-GGA) for crystalline Al2ZnH6 at its relaxed geometry.

Cell: 6.5524 6.5524 6.5524 Å, 90.00 90.00 90.00°
Closest atoms and distances in Å follow each position.
Space group Fm-3m (No. 225)
One atom of each set of equivalent atoms:
Al 0.2500 0.2500 0.2500 x8  12 H 2.32
Zn 0.0000 0.0000 0.0000 x4  6 H 1.79
H 0.0000 0.0000 0.2735 x24  1 Zn 1.79



# 9
Density functional theory data (PBE-GGA) for crystalline Al2ZnH2 at its relaxed geometry.

Cell: 3.0545 3.0545 11.6518 Å, 90.00 90.00 90.00°
Closest atoms and distances in Å follow each position.
Space group I4/mmm (No. 139)
One atom of each set of equivalent atoms:
Al 0.0000 0.0000 0.1448 x4  4 H 1.96
Zn 0.0000 0.0000 0.5000 x2  8 Al 2.74, 4 Zn 3.05
H 0.0000 0.5000 0.2500 x4  4 Al 1.96, 4 H 2.16



# 10
Density functional theory data (PBE-GGA) for crystalline Al2ZnH at its relaxed geometry.

Cell: 4.7198 4.7198 11.4232 Å, 90.00 90.00 90.00°
Closest atoms and distances in Å follow each position.
Space group I-42d (No. 122)
One atom of each set of equivalent atoms:
Al 0.1172 0.2500 0.1250 x8  2 H 1.93
Zn 0.0000 0.0000 0.5000 x4  4 Al 2.59
H 0.0000 0.0000 0.0000 x4  4 Al 1.93



# 11
Density functional theory data (PBE-GGA) for crystalline Al2ZnH at its relaxed geometry.

Cell: 6.0085 6.0085 6.0085 Å, 90.00 90.00 90.00°
Closest atoms and distances in Å follow each position.
Space group Fm-3m (No. 225)
One atom of each set of equivalent atoms:
Al 0.2500 0.2500 0.2500 x8  4 H 2.60, 4 Zn 2.60
Zn 0.0000 0.0000 0.0000 x4  8 Al 2.60
H 0.0000 0.0000 0.5000 x4  8 Al 2.60



# 12
Density functional theory data (PBE-GGA) for crystalline AlZnH2 at its relaxed geometry.

Cell: 5.4410 5.4410 5.4410 Å, 90.00 90.00 90.00°
Closest atoms and distances in Å follow each position.
Space group Fm-3m (No. 225)
One atom of each set of equivalent atoms:
Al 0.0000 0.0000 0.0000 x4  8 H 2.36
Zn 0.0000 0.0000 0.5000 x4  8 H 2.36
H 0.2500 0.2500 0.2500 x8  4 Al 2.36, 4 Zn 2.36



# 13
Density functional theory data (PBE-GGA) for crystalline Al2ZnH at its relaxed geometry.

Cell: 2.7713 2.7713 25.0402 Å, 90.00 90.00 120.00°
Closest atoms and distances in Å follow each position.
Space group R-3m (No. 166, hexagonal axes)
One atom of each set of equivalent atoms:
Al 0.0000 0.0000 0.1101 x6  3 H 2.14
Zn 0.0000 0.0000 0.0000 x3  2 Al 2.76, 6 Zn 2.77
H 0.0000 0.0000 0.5000 x3  6 Al 2.14



# 14
Density functional theory data (PBE-GGA) for crystalline AlZnH2 at its relaxed geometry.

Cell: 2.9482 2.9482 17.2130 Å, 90.00 90.00 120.00°
Closest atoms and distances in Å follow each position.
Space group R-3m (No. 166, hexagonal axes)
One atom of each set of equivalent atoms:
Al 0.0000 0.0000 0.0000 x3  6 H 1.90
Zn 0.0000 0.0000 0.5000 x3  2 H 2.01
H 0.0000 0.0000 0.3829 x6  3 Al 1.90, 1 Zn 2.01



# 15
Density functional theory data (PBE-GGA) for crystalline Al2ZnH2 at its relaxed geometry.

Cell: 6.6444 6.6444 2.6192 Å, 90.00 90.00 90.00°
Closest atoms and distances in Å follow each position.
Space group P4/mbm (No. 127)
One atom of each set of equivalent atoms:
Al 0.1398 0.3602 0.0000 x4  4 H 2.10
Zn 0.0000 0.0000 0.5000 x2  2 Zn 2.62, 4 H 2.71, 8 Al 2.88
H 0.1055 0.6055 0.5000 x4  1 H 1.98, 4 Al 2.10



# 16
Density functional theory data (PBE-GGA) for crystalline AlZnH2 at its relaxed geometry.

Cell: 4.4208 4.4208 9.6795 Å, 90.00 90.00 90.00°
Closest atoms and distances in Å follow each position.
Space group I-42d (No. 122)
One atom of each set of equivalent atoms:
Al 0.0000 0.0000 0.0000 x4  4 H 1.74
Zn 0.0000 0.0000 0.5000 x4  4 H 2.31
H 0.1312 0.2500 0.1250 x8  2 Al 1.74



# 17
Density functional theory data (PBE-GGA) for crystalline ZrAlZn2H at its relaxed geometry.

Cell: 4.1211 4.1211 4.1167 Å, 90.00 90.00 90.00°
Closest atoms and distances in Å follow each position.
Space group P4/mmm (No. 123)
One atom of each set of equivalent atoms:
Zr 0.0000 0.0000 0.0000 x1  2 H 2.06
Al 0.5000 0.5000 0.0000 x1  8 Zn 2.91, 4 Zr 2.91
Zn 0.0000 0.5000 0.5000 x2  2 H 2.06
H 0.0000 0.0000 0.5000 x1  2 Zr 2.06, 4 Zn 2.06



# 18
Density functional theory data (PBE-GGA) for crystalline ZrAl2ZnH at its relaxed geometry.

Cell: 4.1727 4.1727 4.0660 Å, 90.00 90.00 90.00°
Closest atoms and distances in Å follow each position.
Space group P4/mmm (No. 123)
One atom of each set of equivalent atoms:
Zr 0.0000 0.0000 0.0000 x1  2 H 2.03
Al 0.0000 0.5000 0.5000 x2  2 H 2.09
Zn 0.5000 0.5000 0.0000 x1  8 Al 2.91, 4 Zr 2.95
H 0.0000 0.0000 0.5000 x1  2 Zr 2.03, 4 Al 2.09



# 19
Density functional theory data (PBE-GGA) for crystalline Zr4AlH2 at its relaxed geometry.

Cell: 12.3997 12.4752 6.2398 Å, 90.00 90.00 90.00°
Closest atoms and distances in Å follow each position.
Space group Fdd2 (No. 43)
One atom of each set of equivalent atoms:
Zr 0.0686 0.1294 0.0000 x16  2 H 2.01-2.06
Zr 0.1189 0.1822 0.5272 x16  2 H 2.01-2.06
Al 0.0000 0.0000 0.6380 x8  8 Zr 2.80-2.90
H 0.0903 0.3405 0.5150 x16  4 Zr 2.01-2.06



# 20
Density functional theory data (PBE-GGA) for crystalline Zr3AlH3 at its relaxed geometry.

Cell: 5.7474 5.7474 5.7474 Å, 90.00 90.00 90.00°
Closest atoms and distances in Å follow each position.
Space group Pm-3n (No. 223)
One atom of each set of equivalent atoms:
Zr 0.0000 0.2500 0.5000 x6  4 H 2.03
Al 0.0000 0.0000 0.0000 x2  12 Zr 3.21, 12 H 3.21
H 0.0000 0.5000 0.2500 x6  4 Zr 2.03



In the order shown, the computed ρ values come out to 3.5; 4.1; 3.1; 4.1; 5.4; 4.9; 4.4; 3.0; 3.7; 3.1; 3.7; 3.9; 3.6; 3.6; 3.5; 3.3; 5.9; 5.0; 5.4; 5.3 Mg/m³.
In the order shown, the computed M_tot values come out to 0.0; 0.0; 0.0; 0.0; 0.0; 0.0; 0.0; 0.0; 0.0; 0.0; 0.0; 0.0; 0.0; 0.0; 0.0; 0.0; 0.0; 0.0; 0.0; 0.0 μB per formula unit.
In the order shown, the computed total DFT energy (no corrections) values come out to -4.9482; -5.5646; -3.7640; -5.2776; -6.4476; -5.9915; -2.7302; -2.6630; -2.8872; -2.6945; -2.6627; -2.3366; -2.7494; -2.5851; -2.7344; -2.5377; -3.8695; -4.3237; -6.6096; -6.0548 eV per atom.